Record 1
ZrTc2Ru | PBE | relaxed

M_tot = 0.00 μB per formula unit
E above lowest polymorph = 0.027 eV/atom
VASP energy = -9.673 eV/atom
crystal system = tetragonal
ΔE_f = -0.03 eV/atom
ρ = 9942 kg/m³
space-group type = P4mm (99)
density of states at the Fermi level = 4.6 states/eV per cell

The structure in extended XYZ format:
```
4
Lattice="3.1778 0.0000 0.0000 0.0000 3.1780 0.0000 0.0000 0.0000 6.4218" Properties=species:S:1:pos:R:3 pbc="T T T"
Tc 0.0000 0.0000 0.1034
Tc 1.5889 1.5890 1.4682
Ru 1.5889 1.5890 4.8074
Zr 0.0000 0.0000 3.2536
```

=====

Record 2
RbSrBiI6 | PBE | relaxed

M_tot = 0.00 μB per formula unit
VASP energy = -2.865 eV/atom
crystal system = trigonal
uncorrected formation energy = -1106 meV/atom
ρ = 3971 kg/m³
space-group type = P312 (149)
density of states at the Fermi level = 0.0 states/eV per cell

The structure in extended XYZ format:
```
9
Lattice="8.3051 0.0003 -0.0010 4.1528 7.1933 -0.0003 -0.0003 -0.0006 8.0042" Properties=species:S:1:pos:R:3 pbc="T T T"
I 2.7205 4.4711 5.8415
Rb 8.3047 -0.0002 8.0032
I 3.0724 0.1213 5.8416
Sr 8.3047 4.7953 4.0012
I 6.6632 2.6007 5.8409
Bi 4.1524 2.3977 4.0016
I 5.2321 0.1208 2.1617
I 5.5839 4.4711 2.1619
I 1.6417 2.6005 2.1621
```

=====

Record 3
ZrTaSb2 | PBE | relaxed

M_tot = 0.70 μB per formula unit
E above lowest polymorph = 0.927 eV/atom
VASP energy = -6.523 eV/atom
crystal system = tetragonal
uncorrected formation energy = 639 meV/atom
ρ = 6482 kg/m³
space-group type = I-42d (122)
density of states at the Fermi level = 11.9 states/eV per cell

The structure in extended XYZ format:
```
8
Lattice="6.3831 0.0000 0.0000 0.0000 6.3831 0.0000 3.1915 3.1915 6.4853" Properties=species:S:1:pos:R:3 pbc="T T T"
Zr 3.1915 6.3831 3.2427
Ta 6.3831 3.1915 3.2427
Sb 4.7873 4.6705 4.8640
Ta 0.0000 0.0000 0.0000
Sb 4.9042 1.5958 1.6213
Sb 7.9789 8.0957 4.8640
Sb 1.4789 4.7873 1.6213
Zr 3.1915 3.1915 0.0000
```

=====

Record 4
TiOsRu2 | PBE | relaxed

M_tot = 0.00 μB per formula unit
E above lowest polymorph = 0.584 eV/atom
VASP energy = -9.012 eV/atom
crystal system = tetragonal
ΔE_f = 0.41 eV/atom
ρ = 11603 kg/m³
space-group type = I-42d (122)
density of states at the Fermi level = 9.8 states/eV per cell

The structure in extended XYZ format:
```
8
Lattice="-3.1221 0.1472 -2.1134 -0.7209 -3.6131 0.8134 -6.5948 0.7932 6.4300" Properties=species:S:1:pos:R:3 pbc="T T T"
Ti -1.9215 -1.7330 -0.6500
Os 0.0000 0.0000 0.0000
Ru -2.4963 -2.0412 1.8471
Ti -4.6186 -2.2764 3.2967
Ru -6.3888 -0.7126 4.3368
Os -5.8192 -0.3963 1.8333
Ru -8.3072 -2.4300 3.6833
Ru -3.6834 -0.1617 0.3929
```

=====

Record 5
CeAgRh | PBE | relaxed

M_tot = 0.20 μB per formula unit
E above lowest polymorph = 0.027 eV/atom
VASP energy = -5.819 eV/atom
crystal system = orthorhombic
ΔE_f = -0.44 eV/atom
ρ = 9432 kg/m³
space-group type = Cmcm (63)
density of states at the Fermi level = 15.8 states/eV per cell

The structure in extended XYZ format:
```
12
Lattice="5.2321 0.0000 0.0000 0.0000 5.5153 0.0000 0.0000 0.0000 8.5632" Properties=species:S:1:pos:R:3 pbc="T T T"
Rh 0.0000 2.7577 4.8407
Ag 0.0000 1.3790 2.1392
Ag 2.6160 4.1367 6.4240
Ce 2.6160 2.7577 3.5357
Ag 0.0000 4.1363 2.1392
Ce 0.0000 2.7577 7.8140
Rh 2.6160 2.7577 0.5643
Ag 2.6160 1.3786 6.4240
Rh 0.0000 0.0000 7.9988
Rh 2.6160 0.0000 3.7224
Ce 2.6160 0.0000 0.7491
Ce 0.0000 0.0000 5.0275
```

=====

Record 6
Si3BPb | PBE | relaxed

M_tot = 0.00 μB per formula unit
E above lowest polymorph = 0.000 eV/atom
VASP energy = -4.588 eV/atom
crystal system = cubic
uncorrected formation energy = 743 meV/atom
ρ = 5942 kg/m³
space-group type = Pm-3m (221)
density of states at the Fermi level = 2.0 states/eV per cell

The structure in extended XYZ format:
```
5
Lattice="-1.3982 3.7594 -1.7787 0.9549 -1.5361 -3.9975 -4.0478 -1.6610 -0.3287" Properties=species:S:1:pos:R:3 pbc="T T T"
Si -2.0239 -0.8305 -0.1643
Si -0.6991 1.8797 -0.8893
Pb -2.2455 0.2811 -3.0524
B 0.0000 0.0000 0.0000
Si 0.4775 -0.7681 -1.9987
```

=====

- What is the formula in the fourth record?
  TiOsRu2

=====

- Which formula does entry 3 have?
  ZrTaSb2

=====

Copy entry 5 word for word.
CeAgRh | PBE | relaxed

M_tot = 0.20 μB per formula unit
E above lowest polymorph = 0.027 eV/atom
VASP energy = -5.819 eV/atom
crystal system = orthorhombic
ΔE_f = -0.44 eV/atom
ρ = 9432 kg/m³
space-group type = Cmcm (63)
density of states at the Fermi level = 15.8 states/eV per cell

The structure in extended XYZ format:
```
12
Lattice="5.2321 0.0000 0.0000 0.0000 5.5153 0.0000 0.0000 0.0000 8.5632" Properties=species:S:1:pos:R:3 pbc="T T T"
Rh 0.0000 2.7577 4.8407
Ag 0.0000 1.3790 2.1392
Ag 2.6160 4.1367 6.4240
Ce 2.6160 2.7577 3.5357
Ag 0.0000 4.1363 2.1392
Ce 0.0000 2.7577 7.8140
Rh 2.6160 2.7577 0.5643
Ag 2.6160 1.3786 6.4240
Rh 0.0000 0.0000 7.9988
Rh 2.6160 0.0000 3.7224
Ce 2.6160 0.0000 0.7491
Ce 0.0000 0.0000 5.0275
```

=====

- Among the records above, which one has the lowest ρ?
  RbSrBiI6